# 1
## AsPt4Br (PBE)

Data for crystalline AsPt4Br at its relaxed geometry.

Cell: 5.382 5.382 5.382 Å, 60.00 60.00 60.00°
Positions (direct):
As: 0.000 0.000 0.000
Pt: 0.374 0.374 0.374
Pt: 0.374 0.374 0.877
Pt: 0.374 0.877 0.374
Pt: 0.877 0.374 0.374
Br: 0.750 0.750 0.750

Results
total magnetization	0.000	μB/f.u.
DFT total energy	-4.6132	eV per atom
calculated volume	110.2	Å³ per cell
formation energy without anion corrections	0.468	eV per atom


# 2
## AsPtBr2 (PBE)

Data for crystalline AsPtBr2 at its relaxed geometry.

Cell: 3.439 3.439 6.969 Å, 90.00 90.00 90.00°
Positions (direct):
As: 0.000 0.000 0.000
Pt: 0.000 0.000 0.500
Br: 0.500 0.500 0.257
Br: 0.500 0.500 0.743

Results
total magnetization	0.000	μB/f.u.
DFT total energy	-2.7554	eV per atom
polymorph energy (0 for the lowest one)	1087.9	meV/atom
calculated volume	82.4	Å³ per cell
formation energy without anion corrections	0.754	eV per atom


Which value of total magnetization does entry 1 give?
0.000 μB/f.u.


The highest DFT total energy belongs to which entry?
AsPtBr2